Version A
Compound: CoAsIrO
Source: OQMD
Functional: PBE+U
Structure: optimized geometry

Its magnetic moment is 2.2 Bohr magnetons per cell.

The structure belongs to space group P4/nmm (No. 129, origin choice 2); the cell edges are 3.7071, 3.7071 and 6.8726 Å and the angles 90.00°, 90.00° and 90.00°. The asymmetric unit holds Co at (0.2500, 0.7500, 0.0000), As at (0.2500, 0.2500, 0.2011), Ir at (0.2500, 0.2500, 0.6916) and O at (0.2500, 0.7500, 0.5000).



Version B
Compound: CoAsIrO
Source: OQMD
Functional: PBE+U
Structure: optimized geometry

Its magnetic moment is 5.8 Bohr magnetons per cell.

The structure belongs to space group P4/nmm (No. 129, origin choice 2); the cell edges are 3.9472, 3.9472 and 8.7022 Å and the angles 90.00°, 90.00° and 90.00°. The asymmetric unit holds Co at (0.2500, 0.2500, 0.0473), As at (0.2500, 0.2500, 0.3332), Ir at (0.2500, 0.7500, 0.5000) and O at (0.2500, 0.7500, 0.0000).



Version C
Compound: CoAsIrO
Source: OQMD
Functional: PBE+U
Structure: optimized geometry

Its magnetic moment is 3.8 Bohr magnetons per cell.

The structure belongs to space group Pmc2_1 (No. 26); the cell edges are 3.9946, 5.3378 and 5.5671 Å and the angles 90.00°, 90.00° and 90.00°. The asymmetric unit holds Co at (0.0000, 0.1416, 0.0000), As at (0.5000, 0.3243, 0.1642), Ir at (0.5000, 0.2250, 0.5854) and O at (0.0000, 0.1899, 0.6499).



Version D
Compound: CoAsIrO
Source: OQMD
Functional: PBE+U
Structure: optimized geometry

Its magnetic moment is 5.2 Bohr magnetons per cell.

The structure belongs to space group Pmc2_1 (No. 26); the cell edges are 3.5783, 5.9495 and 5.5173 Å and the angles 90.00°, 90.00° and 90.00°. The asymmetric unit holds Co at (0.0000, 0.1132, 0.0000), As at (0.0000, 0.2845, 0.4293), Ir at (0.5000, 0.4894, 0.6433) and O at (0.5000, 0.2382, 0.9050).



Which is less stable than every other structure shown? version C is.